Ba2TcRh (GGA-PBE, optimized geometry); energy = -4.805 eV/atom; formation energy = 0.586 eV per atom; space group = I-42d (122)
1.0
-7.673 -8.752 -1.741
7.762 -5.413 -6.996
0.930 -8.231 -2.497
Rh Ba Tc
2 4 2
Direct
0.000 0.000 0.000
0.750 0.250 0.500
0.798 0.125 0.250
0.952 0.625 0.250
0.375 0.202 0.750
0.875 0.048 0.750
0.500 0.500 0.000
0.250 0.750 0.500

Ba2TcRh (GGA-PBE, optimized geometry); energy = -4.551 eV/atom; formation energy = 0.840 eV per atom; space group = I4/mmm (139)
1.0
5.668 -0.003 0.000
1.143 5.551 0.000
-3.405 -2.774 3.582
Ba Rh Tc
2 1 1
Direct
0.000 0.000 0.000
0.500 0.500 0.000
0.250 0.750 0.500
0.750 0.250 0.500